First-principles (PBE) data for an optimized crystal structure of HfZn2Ir2, as listed in Alexandria via LeMat-Bulk.

The magnetization comes out at 0.00 μB/f.u. Its space group is P4/mbm, No. 127. The value obtained for the offset from the most stable computed form is 8 meV/atom.

Cell and atoms, written as POSCAR:
```
HfZn2Ir2
1.0
7.251 0.000 0.000
0.000 7.251 0.000
0.000 0.000 2.944
Hf Ir Zn
2 4 4
Direct
0.000 0.000 0.000
0.500 0.500 0.000
0.319 0.181 0.500
0.681 0.819 0.500
0.181 0.681 0.500
0.819 0.319 0.500
0.382 0.882 0.000
0.618 0.118 0.000
0.118 0.382 0.000
0.882 0.618 0.000
```